Entry 1:
DFT (PBE) results for a relaxed AlPb crystal.

Summary:
- total energy (eV per formula unit) = -7.02
- energy relative to the elements (eV per formula unit) = 0.432
- magnetization (μB per formula unit) = 0.000

abc: 3.420 4.558 6.689
angles: 90.00 103.76 90.00
Fractional positions:
Al 0.058 0.250 0.117
Al 0.942 0.750 0.883
Pb 0.331 0.250 0.669
Pb 0.669 0.750 0.331

Entry 2:
DFT (PBE) results for a relaxed Al2Pb3 crystal.

Summary:
- total energy (eV per formula unit) = -17.45
- energy relative to the elements (eV per formula unit) = 1.157
- magnetization (μB per formula unit) = 0.000
- offset from the most stable computed form (eV/atom) = 0.052

abc: 5.027 5.027 6.401
angles: 90.00 90.00 120.00
Fractional positions:
Al 0.333 0.667 0.336
Al 0.667 0.333 0.664
Pb 0.000 0.000 0.500
Pb 0.333 0.667 0.845
Pb 0.667 0.333 0.155

Entry 3:
DFT (PBE) results for a relaxed AlPb crystal.

Summary:
- total energy (eV per formula unit) = -7.12
- energy relative to the elements (eV per formula unit) = 0.333
- magnetization (μB per formula unit) = 0.000

abc: 3.648 3.648 7.639
angles: 90.00 90.00 90.00
Fractional positions:
Al 0.250 0.250 0.081
Al 0.750 0.750 0.919
Pb 0.250 0.250 0.685
Pb 0.750 0.750 0.315

Entry 4:
DFT (PBE) results for a relaxed AlPb3 crystal.

Summary:
- total energy (eV per formula unit) = -14.20
- energy relative to the elements (eV per formula unit) = 0.664
- magnetization (μB per formula unit) = 0.000
- offset from the most stable computed form (eV/atom) = 0.037

abc: 6.553 6.553 6.553
angles: 148.75 128.00 61.93
Fractional positions:
Al 0.000 0.000 0.000
Pb 0.222 0.722 0.500
Pb 0.500 0.500 0.000
Pb 0.778 0.278 0.500

Entry 5:
DFT (PBE) results for a relaxed AlPb crystal.

Summary:
- total energy (eV per formula unit) = -6.54
- energy relative to the elements (eV per formula unit) = 0.915
- magnetization (μB per formula unit) = 0.000

abc: 4.546 4.546 4.546
angles: 60.00 60.00 60.00
Fractional positions:
Al 0.000 0.000 0.000
Pb 0.250 0.250 0.250

Entry 6:
DFT (PBE) results for a relaxed Al2Pb crystal.

Summary:
- total energy (eV per formula unit) = -10.36
- energy relative to the elements (eV per formula unit) = 0.837
- magnetization (μB per formula unit) = 0.000

abc: 3.870 3.870 4.975
angles: 90.00 90.00 90.00
Fractional positions:
Al 0.000 0.500 0.000
Al 0.500 0.000 0.000
Pb 0.000 0.000 0.500

Entry 7:
DFT (PBE) results for a relaxed AlPb2 crystal.

Summary:
- total energy (eV per formula unit) = -10.60
- energy relative to the elements (eV per formula unit) = 0.556
- magnetization (μB per formula unit) = 0.000

abc: 3.419 3.419 8.210
angles: 90.00 90.00 120.00
Fractional positions:
Al 0.000 0.000 0.000
Pb 0.333 0.667 0.299
Pb 0.667 0.333 0.701

Entry 8:
DFT (PBE) results for a relaxed AlPb3 crystal.

Summary:
- total energy (eV per formula unit) = -12.71
- energy relative to the elements (eV per formula unit) = 2.161
- magnetization (μB per formula unit) = 0.000
- offset from the most stable computed form (eV/atom) = 0.411

abc: 5.542 5.542 5.542
angles: 90.00 90.00 90.00
Fractional positions:
Al 0.000 0.000 0.000
Pb 0.000 0.000 0.500
Pb 0.000 0.500 0.000
Pb 0.500 0.000 0.000